[1]
This record from the Alexandria database describes crystalline ScMo2 at its relaxed geometry. The functional is PBE-GGA.

```
ScMo2
1.0
0.9491 -4.5389 -2.7296
1.2071 -5.2293 0.3874
-5.7631 -3.6654 -0.3348
Mo Sc
4 2
Cartesian
-2.1690 -3.1724 -0.5231
-1.4380 -10.2612 -2.1538
-0.5010 -5.9274 -1.2715
-3.1060 -7.5062 -1.4055
1.2827 -8.5635 -2.0030
-4.8897 -4.8700 -0.6740
```

Energy of formation from the pure elements: 0.0798 eV/atom

=====

[2]
This record from the Alexandria database describes crystalline ScMo2 at its relaxed geometry. The functional is PBE-GGA.

```
ScMo2
1.0
6.1791 0.0000 0.0000
0.0000 6.1791 0.0000
0.0000 0.0000 6.1791
Sc Mo
4 8
Cartesian
3.0895 0.0000 3.0895
0.0000 3.0895 3.0895
3.0895 3.0895 0.0000
0.0000 0.0000 0.0000
2.3775 2.3775 2.3775
5.4670 2.3775 0.7121
2.3775 0.7121 5.4670
3.8016 5.4670 0.7121
3.8016 3.8016 3.8016
0.7121 3.8016 5.4670
0.7121 5.4670 2.3775
5.4670 0.7121 3.8016
```

Energy of formation from the pure elements: 1.6517 eV/atom